A geometry-optimized Be2RuCl structure, computed with PBE-GGA.

Cell: 4.099 4.099 4.099 Å, 60.00 60.00 60.00°
Fractional positions:
Be 0.250 0.250 0.250
Be 0.750 0.750 0.750
Ru 0.500 0.500 0.500
Cl 0.000 0.000 0.000

Summary:
Magnetization: 0.000 μB/atom
Energy relative to the elements, uncorrected: 3.4 eV/f.u.
SG: No. 225
Relative energy among the computed polymorphs: 0.912 eV per atom